1.
## AcPrSmY (GGA-PBE)

Data for an optimized crystal structure of AcPrSmY.

Lattice parameters (Å, degrees): 5.294 5.298 6.432 114.32 114.30 90.00
Sites, in units of the cell vectors:
1 Ac 0.446 0.446 0.891
2 Y 0.695 0.195 0.391
3 Sm 0.946 0.946 0.891
4 Pr 0.196 0.696 0.391

ΔE_f = 0.038 eV per atom
DOS(E_F) = 1.6298 states/eV/atom
energy relative to the lowest polymorph listed for this composition = 0.000 eV/atom
raw total energy = -4.9794 eV per atom
calculated density = 6.87 g/cm3



2.
## Sc2SiPb (GGA-PBE)

Data for an optimized crystal structure of Sc2SiPb.

Lattice parameters (Å, degrees): 5.771 5.771 4.118 69.10 69.10 41.81
Sites, in units of the cell vectors:
1 Sc 0.750 0.750 0.750
2 Sc 0.000 0.000 0.000
3 Si 0.500 0.500 0.500
4 Pb 0.250 0.250 0.250

DOS(E_F) = 0.3495 states/eV/atom
energy relative to the elements, uncorrected = -430 meV per atom
energy relative to the lowest polymorph listed for this composition = 0.014 eV/atom
raw total energy = -5.8783 eV per atom
calculated density = 6.39 g/cm3



3.
## AcTbYHo (GGA-PBE)

Data for an optimized crystal structure of AcTbYHo.

Lattice parameters (Å, degrees): 5.836 5.836 5.836 60.00 60.00 60.00
Sites, in units of the cell vectors:
1 Tb 0.500 0.500 0.500
2 Y 0.750 0.750 0.750
3 Ac 0.000 0.000 0.000
4 Ho 0.250 0.250 0.250

ΔE_f = 0.122 eV per atom
DOS(E_F) = 1.6991 states/eV/atom
energy relative to the lowest polymorph listed for this composition = 0.059 eV/atom
raw total energy = -4.8227 eV per atom
calculated density = 7.56 g/cm3



4.
## Ce2ErGa3 (GGA-PBE)

Data for an optimized crystal structure of Ce2ErGa3.

Lattice parameters (Å, degrees): 5.097 5.097 12.549 90.00 90.00 120.00
Sites, in units of the cell vectors:
1 Ce 0.000 0.000 0.500
2 Ga 0.333 0.667 0.418
3 Ga 0.667 0.333 0.582
4 Ce 0.667 0.333 0.830
5 Ga 0.667 0.333 0.087
6 Er 0.333 0.667 0.667
7 Ga 0.000 0.000 0.746
8 Ce 0.000 0.000 0.000
9 Ga 0.333 0.667 0.913
10 Er 0.667 0.333 0.333
11 Ga 0.000 0.000 0.254
12 Ce 0.333 0.667 0.170

ΔE_f = -0.498 eV per atom
DOS(E_F) = 1.8887 states/eV/atom
raw total energy = -4.7498 eV per atom
calculated density = 7.72 g/cm3



5.
## CaSb2TePd (GGA-PBE)

Data for an optimized crystal structure of CaSb2TePd.

Lattice parameters (Å, degrees): 5.688 5.688 5.624 90.00 90.00 90.00
Sites, in units of the cell vectors:
1 Pd 0.500 0.500 0.500
2 Te 0.000 0.000 0.500
3 Ca 0.000 0.000 0.000
4 Sb 0.000 0.500 0.000
5 Sb 0.500 0.000 0.000

DOS(E_F) = 0.8933 states/eV/atom
energy relative to the elements, uncorrected = 751 meV per atom
energy relative to the lowest polymorph listed for this composition = 0.954 eV/atom
raw total energy = -2.9655 eV per atom
calculated density = 4.72 g/cm3



6.
## ThAlSi2 (GGA-PBE)

Data for an optimized crystal structure of ThAlSi2.

Lattice parameters (Å, degrees): 4.065 4.444 4.444 90.00 90.00 90.00
Sites, in units of the cell vectors:
1 Si 0.000 0.000 0.500
2 Th 0.500 0.500 0.500
3 Al 0.500 0.000 0.000
4 Si 0.000 0.500 0.000

DOS(E_F) = 0.6472 states/eV/atom
energy relative to the elements, uncorrected = -314 meV per atom
raw total energy = -5.8156 eV per atom
calculated density = 6.52 g/cm3



7.
## Ba2MgSnO5 (GGA-PBE)

Data for an optimized crystal structure of Ba2MgSnO5.

Lattice parameters (Å, degrees): 3.483 7.707 11.332 90.00 90.00 103.06
Sites, in units of the cell vectors:
1 O 0.501 0.002 0.794
2 O 0.692 0.383 0.899
3 O 0.283 0.567 0.642
4 Sn 0.787 0.575 0.520
5 Ba 0.103 0.207 0.682
6 Mg 0.442 0.883 0.447
7 O 0.499 0.998 0.294
8 Mg 0.558 0.117 0.947
9 O 0.347 0.695 0.001
10 Ba 0.131 0.262 0.308
11 O 0.929 0.858 0.531
12 O 0.071 0.142 0.031
13 O 0.717 0.433 0.142
14 Ba 0.869 0.738 0.808
15 Ba 0.897 0.793 0.182
16 O 0.653 0.305 0.501
17 O 0.308 0.617 0.399
18 Sn 0.213 0.425 0.020

DOS(E_F) = 0.0000 states/eV/atom
energy relative to the elements, uncorrected = -2265 meV per atom
raw total energy = -6.0686 eV per atom
calculated density = 5.58 g/cm3



8.
## AsIrPb4 (GGA-PBE)

Data for an optimized crystal structure of AsIrPb4.

Lattice parameters (Å, degrees): 6.207 6.207 6.207 60.00 60.00 60.00
Sites, in units of the cell vectors:
1 Pb 0.374 0.877 0.374
2 As 0.750 0.750 0.750
3 Pb 0.374 0.374 0.877
4 Ir 0.000 0.000 0.000
5 Pb 0.877 0.374 0.374
6 Pb 0.374 0.374 0.374

ΔE_f = 0.938 eV per atom
DOS(E_F) = 1.0347 states/eV/atom
raw total energy = -3.7858 eV per atom
calculated density = 10.76 g/cm3